No. 1
A relaxed Cs2Cu2SnBr6 crystal. Source: Alexandria, functional PBE-GGA.

Values from the calculation:
* electronic total energy: -3.14 eV per atom
* uncorrected formation energy: -0.97 eV/atom
* magnetic moment: 0.00 Bohr magnetons per cell

```
data_Cs2Cu2SnBr6
_chemical_formula_sum 'Cs2 Cu2 Sn1 Br6'
_cell_length_a 8.015
_cell_length_b 8.015
_cell_length_c 8.300
_cell_angle_alpha 116.48
_cell_angle_beta 116.48
_cell_angle_gamma 60.23
_space_group_name_H-M_alt 'P 1'
_space_group_IT_number 1
_space_group_name_Hall 'P 1'
loop_
_atom_site_label
_atom_site_fract_x
_atom_site_fract_y
_atom_site_fract_z
Cs1 0.233 0.233 0.221
Cs2 0.767 0.767 0.779
Cu1 0.451 0.451 0.810
Cu2 0.549 0.549 0.190
Sn1 0.000 0.000 0.500
Br1 0.212 0.715 0.205
Br2 0.251 0.251 0.687
Br3 0.285 0.788 0.795
Br4 0.715 0.212 0.205
Br5 0.749 0.749 0.313
Br6 0.788 0.285 0.795
```



No. 2
A relaxed Tl7Bi crystal. Source: Alexandria, functional PBE-GGA.

Values from the calculation:
* electronic total energy: -2.55 eV per atom
* ΔE to the lowest computed polymorph: 29.1 meV/atom
* magnetic moment: 0.00 Bohr magnetons per cell
* energy of formation: 8 meV per atom

```
data_Tl7Bi
_chemical_formula_sum 'Tl7 Bi1'
_cell_length_a 7.069
_cell_length_b 7.069
_cell_length_c 7.069
_cell_angle_alpha 60.00
_cell_angle_beta 60.00
_cell_angle_gamma 60.00
_space_group_name_H-M_alt 'P 1'
_space_group_IT_number 1
_space_group_name_Hall 'P 1'
loop_
_atom_site_label
_atom_site_fract_x
_atom_site_fract_y
_atom_site_fract_z
Tl1 0.000 0.000 0.000
Tl2 0.000 0.000 0.500
Tl3 0.000 0.500 0.000
Tl4 0.000 0.500 0.500
Tl5 0.500 0.000 0.000
Tl6 0.500 0.000 0.500
Tl7 0.500 0.500 0.000
Bi1 0.500 0.500 0.500
```



No. 3
A relaxed NaIn2Ni crystal. Source: Alexandria, functional PBE-GGA.

Values from the calculation:
* electronic total energy: -3.22 eV per atom
* magnetic moment: 0.00 Bohr magnetons per cell
* energy of formation: -72 meV per atom

```
data_NaIn2Ni
_chemical_formula_sum 'Na1 In2 Ni1'
_cell_length_a 3.210
_cell_length_b 3.210
_cell_length_c 8.178
_cell_angle_alpha 90.00
_cell_angle_beta 90.00
_cell_angle_gamma 90.00
_space_group_name_H-M_alt 'P 1'
_space_group_IT_number 1
_space_group_name_Hall 'P 1'
loop_
_atom_site_label
_atom_site_fract_x
_atom_site_fract_y
_atom_site_fract_z
Na1 0.000 0.000 0.000
In1 0.500 0.500 0.307
In2 0.500 0.500 0.693
Ni1 0.000 0.000 0.500
```



No. 4
A relaxed PuPH2O6 crystal. Source: Alexandria, functional PBE-GGA.

Values from the calculation:
* electronic total energy: -7.43 eV per atom
* magnetic moment: 3.00 Bohr magnetons per cell

```
data_PuPH2O6
_chemical_formula_sum 'Pu1 P1 H2 O6'
_cell_length_a 4.784
_cell_length_b 4.842
_cell_length_c 5.359
_cell_angle_alpha 63.19
_cell_angle_beta 67.90
_cell_angle_gamma 64.99
_space_group_name_H-M_alt 'P 1'
_space_group_IT_number 1
_space_group_name_Hall 'P 1'
loop_
_atom_site_label
_atom_site_fract_x
_atom_site_fract_y
_atom_site_fract_z
Pu1 0.000 0.000 0.000
P1 0.500 0.500 0.500
H1 0.365 0.229 0.323
H2 0.635 0.771 0.677
O1 0.172 0.397 0.715
O2 0.276 0.850 0.282
O3 0.444 0.715 0.716
O4 0.556 0.285 0.284
O5 0.724 0.150 0.718
O6 0.828 0.603 0.285
```